Entry 1:
Below is crystalline Tl2Zn at its relaxed geometry, with properties calculated at the PBE level.

Summary:
The symmetry is Pa-3, No. 205. The crystal system is cubic. Its total DFT energy (no corrections) is -21.827 eV/cell. Its energy above the most stable polymorph in this dataset is 107 meV/atom. The value obtained for the formation energy is 0.18 eV per atom.

a = 6.970 Å, b = 6.970 Å, c = 6.970 Å
α = 90.00°, β = 90.00°, γ = 90.00°
Fractional coordinates of all 12 atoms:
Tl 0.149 0.149 0.149
Tl 0.149 0.351 0.649
Tl 0.351 0.649 0.149
Tl 0.351 0.851 0.649
Tl 0.649 0.149 0.351
Tl 0.649 0.351 0.851
Tl 0.851 0.649 0.351
Tl 0.851 0.851 0.851
Zn 0.000 0.000 0.500
Zn 0.000 0.500 0.000
Zn 0.500 0.000 0.000
Zn 0.500 0.500 0.500


Entry 2:
Below is crystalline Sr3CoW at its relaxed geometry, with properties calculated at the PBE level.

Summary:
The symmetry is Pm-3m, No. 221. The crystal system is cubic. Its total DFT energy (no corrections) is -18.789 eV/cell. The value obtained for the formation energy is 1.26 eV per atom.

a = 5.568 Å, b = 5.568 Å, c = 5.568 Å
α = 90.00°, β = 90.00°, γ = 90.00°
Fractional coordinates of all 5 atoms:
Sr 0.000 0.000 0.500
Sr 0.000 0.500 0.000
Sr 0.500 0.000 0.000
Co 0.000 0.000 0.000
W 0.500 0.500 0.500


Entry 3:
Below is crystalline TlCdH3 at its relaxed geometry, with properties calculated at the PBE level.

Summary:
The symmetry is Pm-3m, No. 221. The crystal system is cubic. Its total DFT energy (no corrections) is -11.788 eV/cell. Its energy above the most stable polymorph in this dataset is 0 meV/atom.

a = 4.137 Å, b = 4.137 Å, c = 4.137 Å
α = 90.00°, β = 90.00°, γ = 90.00°
Fractional coordinates of all 5 atoms:
Tl 0.000 0.000 0.000
Cd 0.500 0.500 0.500
H 0.000 0.500 0.500
H 0.500 0.000 0.500
H 0.500 0.500 0.000


Entry 4:
Below is crystalline Pm2NdTl2Zn2 at its relaxed geometry, with properties calculated at the PBE level.

Summary:
The symmetry is R-3m, No. 166. The crystal system is trigonal. Its total DFT energy (no corrections) is -22.912 eV/cell. The value obtained for the formation energy is -0.19 eV per atom.

a = 9.773 Å, b = 9.773 Å, c = 9.773 Å
α = 28.44°, β = 28.44°, γ = 28.44°
Fractional coordinates of all 7 atoms:
Pm 0.129 0.129 0.129
Pm 0.871 0.871 0.871
Nd 0.000 0.000 0.000
Tl 0.266 0.266 0.266
Tl 0.734 0.734 0.734
Zn 0.410 0.410 0.410
Zn 0.590 0.590 0.590


Entry 5:
Below is crystalline MgTaCrB2 at its relaxed geometry, with properties calculated at the PBE level.

Summary:
The symmetry is P4/mmm, No. 123. The crystal system is tetragonal. Its total DFT energy (no corrections) is -23.982 eV/cell. The value obtained for the formation energy is 2.49 eV per atom.

a = 4.013 Å, b = 4.013 Å, c = 4.800 Å
α = 90.00°, β = 90.00°, γ = 90.00°
Fractional coordinates of all 5 atoms:
Mg 0.000 0.000 0.000
Ta 0.000 0.000 0.500
Cr 0.500 0.500 0.500
B 0.000 0.500 0.000
B 0.500 0.000 0.000


Entry 6:
Below is crystalline CdMoSN2 at its relaxed geometry, with properties calculated at the PBE level.

Summary:
The symmetry is P4/mmm, No. 123. The crystal system is tetragonal. Its total DFT energy (no corrections) is -22.489 eV/cell. Its energy above the most stable polymorph in this dataset is 1756 meV/atom. The value obtained for the formation energy without anion corrections is 2.0071 eV per atom.

a = 4.153 Å, b = 4.153 Å, c = 5.163 Å
α = 90.00°, β = 90.00°, γ = 90.00°
Fractional coordinates of all 5 atoms:
Cd 0.000 0.000 0.000
Mo 0.500 0.500 0.500
S 0.000 0.000 0.500
N 0.000 0.500 0.000
N 0.500 0.000 0.000